No. 1
Here is crystalline KTa2Ir at its relaxed geometry from the Alexandria database. Energies are from GGA-PBE.

The structure in CIF format:
```
data_KTa2Ir
_cell_length_a 2.8706
_cell_length_b 5.4070
_cell_length_c 11.0282
_cell_angle_alpha 90.00
_cell_angle_beta 90.00
_cell_angle_gamma 90.00
_symmetry_space_group_name_H-M 'I m m m'
_symmetry_Int_Tables_number 71
_symmetry_space_group_name_Hall '-I 2 2'
loop_
_atom_site_label
_atom_site_fract_x
_atom_site_fract_y
_atom_site_fract_z
K1 0.0000 0.0000 0.0000
Ta1 0.0000 0.5000 0.2017
Ir1 0.0000 0.0000 0.5000
```

Computed properties:
The value obtained for the magnetization is 0.0 Bohr magnetons per cell. The calculation puts the energy of formation at 0.65 eV/atom. As for the total energy: -62.09 eV/cell. For the energy above the most stable polymorph in this dataset, the calculation gives 326 meV/atom.



No. 2
Here is crystalline SmScCuOs at its relaxed geometry from the Alexandria database. Energies are from GGA-PBE.

The structure in CIF format:
```
data_SmScCuOs
_cell_length_a 6.7503
_cell_length_b 6.7503
_cell_length_c 6.7503
_cell_angle_alpha 90.00
_cell_angle_beta 90.00
_cell_angle_gamma 90.00
_symmetry_space_group_name_H-M 'F -4 3 m'
_symmetry_Int_Tables_number 216
_symmetry_space_group_name_Hall 'F -4 2 3'
loop_
_atom_site_label
_atom_site_fract_x
_atom_site_fract_y
_atom_site_fract_z
Sm1 0.0000 0.0000 0.0000
Sc1 0.0000 0.0000 0.5000
Cu1 0.2500 0.2500 0.2500
Os1 0.2500 0.2500 0.7500
```

Computed properties:
The value obtained for the magnetization is 0.0 Bohr magnetons per cell. The calculation puts the energy of formation at -0.21 eV/atom. As for the total energy: -108.85 eV/cell.



No. 3
Here is crystalline Ga2Cu3Se6O18 at its relaxed geometry from the Alexandria database. Energies are from GGA-PBE.

The structure in CIF format:
```
data_Ga2Cu3Se6O18
_cell_length_a 12.4745
_cell_length_b 8.3285
_cell_length_c 7.7121
_cell_angle_alpha 90.00
_cell_angle_beta 95.78
_cell_angle_gamma 90.00
_symmetry_space_group_name_H-M 'P 1 21/c 1'
_symmetry_Int_Tables_number 14
loop_
_symmetry_equiv_pos_as_xyz
'x,y,z'
'-x,-y,-z'
'-x,y+1/2,-z+1/2'
'x,-y+1/2,z+1/2'
loop_
_atom_site_label
_atom_site_fract_x
_atom_site_fract_y
_atom_site_fract_z
Ga1 0.1743 0.0065 0.3678
Cu1 0.3816 0.6270 0.1351
Cu2 0.5000 0.0000 0.0000
Se1 0.0439 0.1982 0.6377
Se2 0.2151 0.5978 0.4492
Se3 0.3900 0.1901 0.3080
O1 0.0553 0.6124 0.7454
O2 0.1136 0.0252 0.5912
O3 0.1303 0.2330 0.3116
O4 0.2524 0.6986 0.9902
O5 0.2531 0.5128 0.6506
O6 0.3225 0.0959 0.4630
O7 0.3234 0.5305 0.3471
O8 0.4826 0.0402 0.2498
O9 0.5002 0.2323 0.9503
```

Computed properties:
The value obtained for the magnetization is 1.9 Bohr magnetons per cell. As for the total energy: -309.21 eV/cell. The energy relative to the elements, uncorrected comes out at -0.900 eV/atom.



No. 4
Here is crystalline Hf5Ge4 at its relaxed geometry from the Alexandria database. Energies are from GGA-PBE.

The structure in CIF format:
```
data_Hf5Ge4
_cell_length_a 10.0782
_cell_length_b 3.9781
_cell_length_c 9.2348
_cell_angle_alpha 90.00
_cell_angle_beta 112.98
_cell_angle_gamma 90.00
_symmetry_space_group_name_H-M 'C 1 2/m 1'
_symmetry_Int_Tables_number 12
loop_
_symmetry_equiv_pos_as_xyz
'x,y,z'
'-x,-y,-z'
'-x,y,-z'
'x,-y,z'
'x+1/2,y+1/2,z'
'-x+1/2,-y+1/2,-z'
'-x+1/2,y+1/2,-z'
'x+1/2,-y+1/2,z'
loop_
_atom_site_label
_atom_site_fract_x
_atom_site_fract_y
_atom_site_fract_z
Hf1 0.0000 0.0000 0.0000
Hf2 0.1005 0.0000 0.3907
Hf3 0.2485 0.5000 0.1600
Ge1 0.0447 0.5000 0.8352
Ge2 0.1327 0.5000 0.6094
```

Computed properties:
The value obtained for the magnetization is 0.0 Bohr magnetons per cell. The calculation puts the energy of formation at -0.56 eV/atom. As for the total energy: -146.56 eV/cell. For the energy above the most stable polymorph in this dataset, the calculation gives 148 meV/atom.